Entry 1:
## La3PmSm2Ho6 (PBE-GGA)

Data for a relaxed structure of La3PmSm2Ho6.

Summary:
- energy of formation (eV per atom) = 0.0152
- calculated total energy (eV/atom) = -4.69
- DOS(E_F) (states/eV/atom) = 1.187

Cell: 6.270 6.270 11.831 Å, 95.06 95.06 120.00°
Positions (direct):
La: 0.000 0.000 0.000
La: 0.333 0.667 0.000
La: 0.667 0.333 0.000
Pm: 0.500 0.500 0.500
Sm: 0.167 0.833 0.500
Sm: 0.833 0.167 0.500
Ho: 0.084 0.418 0.253
Ho: 0.249 0.249 0.747
Ho: 0.418 0.084 0.253
Ho: 0.582 0.916 0.747
Ho: 0.751 0.751 0.253
Ho: 0.916 0.582 0.747

***

Entry 2:
## La4PmSm2Ho (PBE-GGA)

Data for a relaxed structure of La4PmSm2Ho.

Summary:
- energy of formation (eV per atom) = 0.0160
- calculated total energy (eV/atom) = -4.79
- DOS(E_F) (states/eV/atom) = 1.482

Cell: 5.228 5.261 10.202 Å, 90.00 90.05 90.00°
Positions (direct):
La: 0.000 0.000 0.248
La: 0.000 0.000 0.752
La: 0.499 0.500 0.752
La: 0.501 0.500 0.248
Pm: 0.000 0.500 0.500
Sm: 0.000 0.500 0.000
Sm: 0.500 0.000 0.500
Ho: 0.500 0.000 0.000